A plane-wave DFT calculation with PBE with a Hubbard U was carried out for crystalline VN2ClF at its relaxed geometry.

For the calculated total energy, the calculation gives -3.98 eV/atom. The calculation puts the density at 3.6 Mg/m³. The value obtained for the density of states at the Fermi level is 3.67 states/eV/cell.

a = 3.588 Å, b = 3.588 Å, c = 4.832 Å
α = 90.00°, β = 90.00°, γ = 90.00°
Fractional coordinates of all 5 atoms:
V 0.500 0.500 0.500
F 0.000 0.000 0.500
N 0.500 0.000 0.000
Cl 0.000 0.000 0.000
N 0.000 0.500 0.000


A plane-wave DFT calculation with PBE with a Hubbard U was carried out for crystalline VN2ClF at its relaxed geometry.

For the calculated total energy, the calculation gives -5.14 eV/atom. The calculation puts the density at 3.7 Mg/m³. The value obtained for the density of states at the Fermi level is 3.45 states/eV/cell.

a = 3.939 Å, b = 3.939 Å, c = 3.901 Å
α = 90.00°, β = 90.00°, γ = 90.00°
Fractional coordinates of all 5 atoms:
N 0.000 0.500 0.000
F 0.000 0.000 0.500
Cl 0.500 0.500 0.500
V 0.000 0.000 0.000
N 0.500 0.000 0.000


A plane-wave DFT calculation with PBE with a Hubbard U was carried out for crystalline WNClF2 at its relaxed geometry.

For the calculated total energy, the calculation gives -3.47 eV/atom. The calculation puts the density at 5.6 Mg/m³. The value obtained for the density of states at the Fermi level is 2.21 states/eV/cell.

a = 4.890 Å, b = 4.890 Å, c = 3.357 Å
α = 90.00°, β = 90.00°, γ = 90.00°
Fractional coordinates of all 5 atoms:
W 0.500 0.500 0.500
F 0.000 0.500 0.000
F 0.500 0.000 0.000
N 0.000 0.000 0.500
Cl 0.000 0.000 0.000


A plane-wave DFT calculation with PBE with a Hubbard U was carried out for crystalline WNClF2 at its relaxed geometry.

For the calculated total energy, the calculation gives -5.06 eV/atom. The calculation puts the density at 6.4 Mg/m³. The value obtained for the density of states at the Fermi level is 2.20 states/eV/cell.

a = 4.167 Å, b = 4.167 Å, c = 4.026 Å
α = 90.00°, β = 90.00°, γ = 90.00°
Fractional coordinates of all 5 atoms:
N 0.000 0.000 0.500
F 0.500 0.000 0.000
W 0.000 0.000 0.000
F 0.000 0.500 0.000
Cl 0.500 0.500 0.500


A plane-wave DFT calculation with PBE with a Hubbard U was carried out for crystalline WN2ClF at its relaxed geometry.

For the calculated total energy, the calculation gives -3.78 eV/atom. The calculation puts the density at 7.1 Mg/m³. The value obtained for the density of states at the Fermi level is 2.14 states/eV/cell.

a = 4.002 Å, b = 4.002 Å, c = 3.873 Å
α = 90.00°, β = 90.00°, γ = 90.00°
Fractional coordinates of all 5 atoms:
N 0.000 0.500 0.000
W 0.500 0.500 0.500
Cl 0.000 0.000 0.000
F 0.000 0.000 0.500
N 0.500 0.000 0.000


A plane-wave DFT calculation with PBE with a Hubbard U was carried out for crystalline WN2ClF at its relaxed geometry.

For the calculated total energy, the calculation gives -5.35 eV/atom. The calculation puts the density at 6.5 Mg/m³. The value obtained for the density of states at the Fermi level is 3.73 states/eV/cell.

a = 4.039 Å, b = 4.039 Å, c = 4.147 Å
α = 90.00°, β = 90.00°, γ = 90.00°
Fractional coordinates of all 5 atoms:
W 0.000 0.000 0.000
F 0.000 0.000 0.500
N 0.000 0.500 0.000
N 0.500 0.000 0.000
Cl 0.500 0.500 0.500


Question: What is the formula in the first record?
Answer: VN2ClF